DFT (PBE-GGA) results for a relaxed Ho3As3W2N12 crystal.

final energy	-8.16	eV per atom
calculated volume	11.9	Å³ per atom

abc: 10.7433 10.7433 10.7433
angles: 109.47 109.47 109.47
Positions (direct):
1 Ho 0.1250 0.2500 0.3750
2 Ho 0.1250 0.3750 0.7500
3 Ho 0.2500 0.3750 0.1250
4 Ho 0.2500 0.8750 0.6250
5 Ho 0.3750 0.1250 0.2500
6 Ho 0.3750 0.7500 0.1250
7 Ho 0.6250 0.2500 0.8750
8 Ho 0.6250 0.8750 0.7500
9 Ho 0.7500 0.1250 0.3750
10 Ho 0.7500 0.6250 0.8750
11 Ho 0.8750 0.6250 0.2500
12 Ho 0.8750 0.7500 0.6250
13 As 0.1250 0.7500 0.8750
14 As 0.1250 0.8750 0.2500
15 As 0.2500 0.1250 0.8750
16 As 0.2500 0.6250 0.3750
17 As 0.3750 0.2500 0.6250
18 As 0.3750 0.6250 0.7500
19 As 0.6250 0.3750 0.2500
20 As 0.6250 0.7500 0.3750
21 As 0.7500 0.3750 0.6250
22 As 0.7500 0.8750 0.1250
23 As 0.8750 0.1250 0.7500
24 As 0.8750 0.2500 0.1250
25 W 0.0000 0.0000 0.0000
26 W 0.0000 0.0000 0.5000
27 W 0.0000 0.5000 0.0000
28 W 0.0000 0.5000 0.5000
29 W 0.5000 0.0000 0.0000
30 W 0.5000 0.0000 0.5000
31 W 0.5000 0.5000 0.0000
32 W 0.5000 0.5000 0.5000
33 N 0.0205 0.2041 0.1163
34 N 0.0205 0.3164 0.9042
35 N 0.0878 0.7041 0.6836
36 N 0.0878 0.8837 0.4042
37 N 0.0958 0.6163 0.4122
38 N 0.0958 0.9795 0.6836
39 N 0.1163 0.0205 0.2041
40 N 0.1163 0.5958 0.9122
41 N 0.1836 0.2041 0.5878
42 N 0.1836 0.4795 0.5958
43 N 0.2041 0.1163 0.0205
44 N 0.2041 0.5878 0.1836
45 N 0.2959 0.3164 0.9122
46 N 0.2959 0.4795 0.3837
47 N 0.3164 0.9042 0.0205
48 N 0.3164 0.9122 0.2959
49 N 0.3837 0.2959 0.4795
50 N 0.3837 0.5878 0.9042
51 N 0.4042 0.0878 0.8837
52 N 0.4042 0.8164 0.5205
53 N 0.4122 0.0958 0.6163
54 N 0.4122 0.8164 0.7959
55 N 0.4795 0.3837 0.2959
56 N 0.4795 0.5958 0.1836
57 N 0.5205 0.4042 0.8164
58 N 0.5205 0.6163 0.7041
59 N 0.5878 0.1836 0.2041
60 N 0.5878 0.9042 0.3837
61 N 0.5958 0.1836 0.4795
62 N 0.5958 0.9122 0.1163
63 N 0.6163 0.4122 0.0958
64 N 0.6163 0.7041 0.5205
65 N 0.6836 0.0878 0.7041
66 N 0.6836 0.0958 0.9795
67 N 0.7041 0.5205 0.6163
68 N 0.7041 0.6836 0.0878
69 N 0.7959 0.4122 0.8164
70 N 0.7959 0.8837 0.9795
71 N 0.8164 0.5205 0.4042
72 N 0.8164 0.7959 0.4122
73 N 0.8837 0.4042 0.0878
74 N 0.8837 0.9795 0.7959
75 N 0.9042 0.0205 0.3164
76 N 0.9042 0.3837 0.5878
77 N 0.9122 0.1163 0.5958
78 N 0.9122 0.2959 0.3164
79 N 0.9795 0.6836 0.0958
80 N 0.9795 0.7959 0.8837


DFT (PBE-GGA) results for a relaxed NaHoAsSe3 crystal.

final energy	-4.36	eV per atom
calculated volume	25.6	Å³ per atom

abc: 7.6073 7.6073 10.2067
angles: 90.00 90.00 148.69
Positions (direct):
1 Na 0.2430 0.7570 0.7500
2 Na 0.7570 0.2430 0.2500
3 Ho 0.0000 0.0000 0.0000
4 Ho 0.0000 0.0000 0.5000
5 As 0.4624 0.5376 0.2500
6 As 0.5376 0.4624 0.7500
7 Se 0.1112 0.8888 0.2500
8 Se 0.3633 0.6367 0.0509
9 Se 0.3633 0.6367 0.4491
10 Se 0.6367 0.3633 0.5509
11 Se 0.6367 0.3633 0.9491
12 Se 0.8888 0.1112 0.7500


DFT (PBE-GGA) results for a relaxed NaHoTe3As crystal.

final energy	-3.96	eV per atom
calculated volume	30.0	Å³ per atom

abc: 7.9623 7.9623 10.8873
angles: 90.00 90.00 148.58
Positions (direct):
1 Na 0.2276 0.7724 0.7500
2 Na 0.7724 0.2276 0.2500
3 Ho 0.0000 0.0000 0.0000
4 Ho 0.0000 0.0000 0.5000
5 Te 0.1113 0.8887 0.2500
6 Te 0.3582 0.6418 0.0468
7 Te 0.3582 0.6418 0.4532
8 Te 0.6418 0.3582 0.5468
9 Te 0.6418 0.3582 0.9532
10 Te 0.8887 0.1113 0.7500
11 As 0.4641 0.5359 0.2500
12 As 0.5359 0.4641 0.7500


DFT (PBE-GGA) results for a relaxed Ho2NbAs3 crystal.

final energy	-6.64	eV per atom
calculated volume	21.9	Å³ per atom

abc: 3.9565 3.9565 9.6770
angles: 90.00 90.00 120.00
Positions (direct):
1 Ho 0.3333 0.6667 0.3223
2 Ho 0.6667 0.3333 0.6777
3 Nb 0.0000 0.0000 0.0000
4 As 0.0000 0.0000 0.5000
5 As 0.3333 0.6667 0.8524
6 As 0.6667 0.3333 0.1476


DFT (PBE-GGA) results for a relaxed HoNbAsO crystal.

calculated volume	17.5	Å³ per atom
offset from the most stable computed form	0.0	meV/atom

abc: 3.9472 3.9472 8.9836
angles: 90.00 90.00 90.00
Positions (direct):
1 Ho 0.2500 0.2500 0.1203
2 Ho 0.7500 0.7500 0.8797
3 Nb 0.2500 0.7500 0.5000
4 Nb 0.7500 0.2500 0.5000
5 As 0.2500 0.2500 0.7011
6 As 0.7500 0.7500 0.2989
7 O 0.2500 0.7500 0.0000
8 O 0.7500 0.2500 0.0000


DFT (PBE-GGA) results for a relaxed HoNbAsO crystal.

calculated volume	16.8	Å³ per atom
offset from the most stable computed form	1126.5	meV/atom

abc: 4.1420 4.1420 7.8379
angles: 90.00 90.00 90.00
Positions (direct):
1 Ho 0.2500 0.7500 0.0000
2 Ho 0.7500 0.2500 0.0000
3 Nb 0.2500 0.2500 0.3926
4 Nb 0.7500 0.7500 0.6074
5 As 0.2500 0.2500 0.7479
6 As 0.7500 0.7500 0.2521
7 O 0.2500 0.7500 0.5000
8 O 0.7500 0.2500 0.5000


DFT (PBE-GGA) results for a relaxed HoNbAsO crystal.

calculated volume	17.3	Å³ per atom
offset from the most stable computed form	262.2	meV/atom

abc: 4.1791 4.9919 6.6161
angles: 90.00 90.00 90.00
Positions (direct):
1 Ho 0.0000 0.1930 0.0000
2 Ho 0.0000 0.8070 0.5000
3 Nb 0.5000 0.3750 0.3408
4 Nb 0.5000 0.6250 0.8408
5 As 0.5000 0.1317 0.6924
6 As 0.5000 0.8683 0.1924
7 O 0.0000 0.3866 0.3319
8 O 0.0000 0.6134 0.8319


DFT (PBE-GGA) results for a relaxed HoNbAsO crystal.

calculated volume	20.0	Å³ per atom
offset from the most stable computed form	513.1	meV/atom

abc: 3.8095 7.3619 5.7082
angles: 90.00 90.00 90.00
Positions (direct):
1 Ho 0.0000 0.2247 0.0000
2 Ho 0.0000 0.7753 0.5000
3 Nb 0.5000 0.4061 0.5183
4 Nb 0.5000 0.5939 0.0183
5 As 0.0000 0.1645 0.4880
6 As 0.0000 0.8355 0.9880
7 O 0.5000 0.3280 0.8777
8 O 0.5000 0.6720 0.3777


DFT (PBE-GGA) results for a relaxed NdHo2As3 crystal.

final energy	-6.16	eV per atom
calculated volume	25.3	Å³ per atom

abc: 4.1540 4.1540 10.1661
angles: 90.00 90.00 120.00
Positions (direct):
1 Nd 0.0000 0.0000 0.0000
2 Ho 0.3333 0.6667 0.3377
3 Ho 0.6667 0.3333 0.6623
4 As 0.0000 0.0000 0.5000
5 As 0.3333 0.6667 0.8241
6 As 0.6667 0.3333 0.1759


DFT (PBE-GGA) results for a relaxed NdHoAs2Pt2 crystal.

calculated volume	20.9	Å³ per atom
offset from the most stable computed form	0.0	meV/atom

abc: 4.3190 4.3190 15.5175
angles: 90.00 90.00 120.00
Positions (direct):
1 Nd 0.0000 0.0000 0.0000
2 Nd 0.0000 0.0000 0.5000
3 Ho 0.0000 0.0000 0.2500
4 Ho 0.0000 0.0000 0.7500
5 As 0.3333 0.6667 0.1196
6 As 0.3333 0.6667 0.3804
7 As 0.6667 0.3333 0.6196
8 As 0.6667 0.3333 0.8804
9 Pt 0.3333 0.6667 0.6426
10 Pt 0.3333 0.6667 0.8574
11 Pt 0.6667 0.3333 0.1426
12 Pt 0.6667 0.3333 0.3574


DFT (PBE-GGA) results for a relaxed HoTmNi2As2 crystal.

calculated volume	17.8	Å³ per atom
offset from the most stable computed form	0.0	meV/atom

abc: 4.0470 4.0470 15.0771
angles: 90.00 90.00 120.00
Positions (direct):
1 Ho 0.0000 0.0000 0.0000
2 Ho 0.0000 0.0000 0.5000
3 Tm 0.0000 0.0000 0.2500
4 Tm 0.0000 0.0000 0.7500
5 Ni 0.3333 0.6667 0.1363
6 Ni 0.3333 0.6667 0.3637
7 Ni 0.6667 0.3333 0.6363
8 Ni 0.6667 0.3333 0.8637
9 As 0.3333 0.6667 0.6203
10 As 0.3333 0.6667 0.8797
11 As 0.6667 0.3333 0.1203
12 As 0.6667 0.3333 0.3797


DFT (PBE-GGA) results for a relaxed Ho5Zr3Ni16As12 crystal.

final energy	-6.21	eV per atom
calculated volume	15.2	Å³ per atom

abc: 12.7280 12.7280 3.9022
angles: 90.00 90.00 120.00
Positions (direct):
1 Ho 0.0000 0.1838 0.0000
2 Ho 0.1838 0.0000 0.0000
3 Ho 0.3333 0.6667 0.5000
4 Ho 0.6667 0.3333 0.5000
5 Ho 0.8162 0.8162 0.0000
6 Zr 0.0000 0.5627 0.5000
7 Zr 0.4373 0.4373 0.5000
8 Zr 0.5627 0.0000 0.5000
9 Ni 0.0000 0.0000 0.5000
10 Ni 0.0000 0.7235 0.0000
11 Ni 0.1211 0.4822 0.0000
12 Ni 0.1831 0.8072 0.5000
13 Ni 0.1928 0.3759 0.5000
14 Ni 0.2765 0.2765 0.0000
15 Ni 0.3611 0.8789 0.0000
16 Ni 0.3759 0.1928 0.5000
17 Ni 0.4822 0.1211 0.0000
18 Ni 0.5178 0.6389 0.0000
19 Ni 0.6241 0.8169 0.5000
20 Ni 0.6389 0.5178 0.0000
21 Ni 0.7235 0.0000 0.0000
22 Ni 0.8072 0.1831 0.5000
23 Ni 0.8169 0.6241 0.5000
24 Ni 0.8789 0.3611 0.0000
25 As 0.0000 0.3544 0.5000
26 As 0.0000 0.8219 0.5000
27 As 0.1724 0.6930 0.0000
28 As 0.1781 0.1781 0.5000
29 As 0.3070 0.4794 0.0000
30 As 0.3544 0.0000 0.5000
31 As 0.4794 0.3070 0.0000
32 As 0.5206 0.8276 0.0000
33 As 0.6456 0.6456 0.5000
34 As 0.6930 0.1724 0.0000
35 As 0.8219 0.0000 0.5000
36 As 0.8276 0.5206 0.0000


Question: Which formula does entry 10 have?
Answer: NdHoAs2Pt2


Question: What is the calculated volume in the eighth record?
Answer: 20.0 Å³ per atom